Material: Rb3FeCo
Method: DFT, PBE-GGA
State: relaxed

Values from the calculation:
energy of formation	1.331	eV per atom
density of states at the Fermi level	13.25	states/eV/f.u.
calculated total energy	-11.81	eV per cell
magnetization	4.2	μB per formula unit

Unit cell a=6.462 b=6.462 c=6.462 alpha=90.00 beta=90.00 gamma=90.00
Atoms (fractional coordinates):
Rb: 0.000 0.000 0.500
Rb: 0.000 0.500 0.000
Rb: 0.500 0.000 0.000
Fe: 0.500 0.500 0.500
Co: 0.000 0.000 0.000



Material: LiAlTl2Sb2
Method: DFT, PBE-GGA
State: relaxed

Values from the calculation:
density of states at the Fermi level	1.59	states/eV/f.u.
ΔE_f (raw)	-0.19	eV/atom
calculated total energy	-39.59	eV per cell
magnetization	0.0	μB per formula unit

Unit cell a=8.846 b=8.846 c=8.846 alpha=134.98 beta=65.34 gamma=135.26
Atoms (fractional coordinates):
Li: 0.250 0.250 0.000
Li: 0.750 0.750 0.000
Al: 0.250 0.750 0.500
Al: 0.750 0.250 0.500
Tl: 0.168 0.230 0.398
Tl: 0.332 0.730 0.062
Tl: 0.668 0.270 0.938
Tl: 0.832 0.770 0.602
Sb: 0.105 0.726 0.831
Sb: 0.395 0.226 0.621
Sb: 0.605 0.774 0.379
Sb: 0.895 0.274 0.169



Material: Tm2AgHg
Method: DFT, PBE-GGA
State: relaxed

Values from the calculation:
energy above the most stable polymorph in this dataset	0.016	eV/f.u.
energy of formation	-0.409	eV per atom
density of states at the Fermi level	2.59	states/eV/f.u.
calculated total energy	-27.47	eV per cell
magnetization	0.0	μB per formula unit

Unit cell a=5.132 b=3.630 c=10.281 alpha=90.00 beta=90.00 gamma=90.00
Atoms (fractional coordinates):
Tm: 0.250 0.000 0.120
Tm: 0.250 0.000 0.629
Tm: 0.750 0.000 0.371
Tm: 0.750 0.000 0.880
Ag: 0.250 0.500 0.875
Ag: 0.750 0.500 0.125
Hg: 0.250 0.500 0.372
Hg: 0.750 0.500 0.628